## Sr3GaSi2Ag6 (PBE)

Data for Sr3GaSi2Ag6 after structural relaxation.

Cell: 6.7035 6.7035 8.0494 Å, 90.00 90.00 120.00°
Last column: nearest neighbours and their distance in Å.
Element x y z (fractional)
Ag  0.3771  0.1885  0.6521  1 Si 2.51, 1 Ga 2.51
Ag  0.1885  0.8115  0.3479  1 Si 2.51, 1 Ga 2.51
Ag  0.8115  0.1885  0.6521  1 Si 2.51, 1 Ga 2.51
Sr  0.3333  0.6667  0.7347  1 Si 3.08, 6 Ag 3.43
Sr  0.0000  0.0000  0.0000  6 Ag 3.55
Si  0.6667  0.3333  0.8830  3 Ag 2.51
Ag  0.8115  0.6229  0.6521  1 Si 2.51, 1 Ga 2.51
Sr  0.6667  0.3333  0.2653  1 Si 3.08, 6 Ag 3.43
Ag  0.1885  0.3771  0.3479  1 Si 2.51, 1 Ga 2.51
Ga  0.0000  0.0000  0.5000  6 Ag 2.51
Si  0.3333  0.6667  0.1170  3 Ag 2.51
Ag  0.6229  0.8115  0.3479  1 Si 2.51, 1 Ga 2.51

Calculated values
- space-group type = P-3m1 (164)
- uncorrected energy (eV per atom) = -3.12

## TaGaSi2Ag (PBE)

Data for TaGaSi2Ag after structural relaxation.

Cell: 4.5487 5.3476 4.5487 Å, 90.00 90.00 90.00°
Last column: nearest neighbours and their distance in Å.
Element x y z (fractional)
Ga  0.5000  0.5000  0.5000  4 Ta 3.22, 8 Si 3.51
Si  0.0000  0.0000  0.5000  2 Ag 2.27
Ta  0.0000  0.5000  0.0000  2 Ag 2.67
Ag  0.0000  0.0000  0.0000  4 Si 2.27
Si  0.5000  0.0000  0.0000  2 Ag 2.27

Calculated values
- space-group type = P4/mmm (123)
- uncorrected energy (eV per atom) = -4.33

## TlGa2SiAg (PBE)

Data for TlGa2SiAg after structural relaxation.

Cell: 4.9864 4.9138 4.9864 Å, 90.00 90.00 90.00°
Last column: nearest neighbours and their distance in Å.
Element x y z (fractional)
Ga  0.5000  0.0000  0.0000  2 Si 2.49
Ag  0.0000  0.5000  0.0000  2 Si 2.46
Tl  0.5000  0.5000  0.5000  8 Ga 3.50, 4 Ag 3.53
Ga  0.0000  0.0000  0.5000  2 Si 2.49
Si  0.0000  0.0000  0.0000  2 Ag 2.46, 4 Ga 2.49

Calculated values
- energy above the lowest structure with this stoichiometry (meV per atom) = 0
- space-group type = P4/mmm (123)

## TlGa2SiAg (PBE)

Data for TlGa2SiAg after structural relaxation.

Cell: 5.0803 4.9292 5.0803 Å, 90.00 90.00 90.00°
Last column: nearest neighbours and their distance in Å.
Element x y z (fractional)
Ag  0.0000  0.0000  0.0000  2 Si 2.46, 4 Ga 2.54
Tl  0.5000  0.5000  0.5000  8 Ga 3.54, 4 Si 3.59
Ga  0.5000  0.0000  0.0000  2 Ag 2.54
Ga  0.0000  0.0000  0.5000  2 Ag 2.54
Si  0.0000  0.5000  0.0000  2 Ag 2.46

Calculated values
- energy above the lowest structure with this stoichiometry (meV per atom) = 196
- space-group type = P4/mmm (123)

## VGa2SiAg (PBE)

Data for VGa2SiAg after structural relaxation.

Cell: 4.7870 4.9582 4.7870 Å, 90.00 90.00 90.00°
Last column: nearest neighbours and their distance in Å.
Element x y z (fractional)
V  0.0000  0.0000  0.0000  4 Ga 2.39, 2 Ag 2.48
Ag  0.0000  0.5000  0.0000  2 V 2.48
Si  0.5000  0.5000  0.5000  4 Ag 3.38, 8 Ga 3.45
Ga  0.0000  0.0000  0.5000  2 V 2.39
Ga  0.5000  0.0000  0.0000  2 V 2.39

Calculated values
- space-group type = P4/mmm (123)
- uncorrected energy (eV per atom) = -3.71

## ZnGa2SiAg (PBE)

Data for ZnGa2SiAg after structural relaxation.

Cell: 4.7386 4.9140 4.7386 Å, 90.00 90.00 90.00°
Last column: nearest neighbours and their distance in Å.
Element x y z (fractional)
Ag  0.0000  0.5000  0.0000  2 Zn 2.46
Ga  0.0000  0.0000  0.5000  2 Zn 2.37
Ga  0.5000  0.0000  0.0000  2 Zn 2.37
Si  0.5000  0.5000  0.5000  4 Ag 3.35, 8 Ga 3.41
Zn  0.0000  0.0000  0.0000  4 Ga 2.37, 2 Ag 2.46

Calculated values
- space-group type = P4/mmm (123)
- uncorrected energy (eV per atom) = -2.47

## Sm2GaAg3 (PBE)

Data for Sm2GaAg3 after structural relaxation.

Cell: 3.7854 4.4057 9.1222 Å, 103.97 101.97 90.00°
Last column: nearest neighbours and their distance in Å.
Element x y z (fractional)
Ag  0.5370  0.5370  0.0740  2 Ga 2.57, 1 Ag 2.75
Sm  0.1177  0.1177  0.2354  8 Ag 3.20-3.22, 2 Ga 3.31
Ag  0.6958  0.6958  0.3916  3 Ag 2.71-2.75
Ga  0.4607  0.9607  0.9215  3 Ag 2.57-2.64
Sm  0.8809  0.3809  0.7619  6 Ag 3.17-3.30, 4 Ga 3.22
Ag  0.3078  0.8078  0.6156  1 Ga 2.64, 2 Ag 2.71

Calculated values
- energy above the lowest structure with this stoichiometry (meV per atom) = 79
- space-group type = Imm2 (44)

## Sm7Ga2Ag2 (PBE)

Data for Sm7Ga2Ag2 after structural relaxation.

Cell: 6.7124 7.6526 6.7124 Å, 90.01 109.40 89.99°
Last column: nearest neighbours and their distance in Å.
Element x y z (fractional)
Sm  0.4998  0.7111  0.9999  2 Ag 2.98, 1 Sm 3.23, 2 Ga 3.25
Ag  0.2915  0.0001  0.7085  7 Sm 2.98-3.19
Sm  0.5001  0.7273  0.4999  2 Ag 3.09-3.10, 2 Ga 3.13, 4 Sm 3.36
Sm  0.9999  0.2889  0.4998  2 Ag 2.98, 1 Sm 3.23, 2 Ga 3.25
Sm  0.0001  0.7111  0.5002  2 Ag 2.98, 1 Sm 3.23, 2 Ga 3.25
Sm  0.5002  0.2889  0.0001  2 Ag 2.98, 1 Sm 3.23, 2 Ga 3.25
Sm  0.0000  0.0000  0.0000  2 Ag 3.19
Ag  0.7085  0.9999  0.2915  7 Sm 2.98-3.19
Sm  0.4999  0.2727  0.5001  2 Ag 3.09-3.10, 2 Ga 3.13, 4 Sm 3.36
Ga  0.8348  0.5000  0.8348  1 Ga 2.56
Ga  0.1652  0.5000  0.1652  1 Ga 2.56

Calculated values
- space-group type = Cmmm (65)
- uncorrected energy (eV per atom) = -4.11

## Sm3Ga3Ag2 (PBE)

Data for Sm3Ga3Ag2 after structural relaxation.

Cell: 4.5314 5.8596 15.0829 Å, 90.00 90.00 112.75°
Last column: nearest neighbours and their distance in Å.
Element x y z (fractional)
Ga  0.6040  0.2080  0.0409  1 Ga 2.56, 2 Ag 2.65
Ag  0.7969  0.5938  0.9019  4 Ga 2.65-2.96
Sm  0.9047  0.8094  0.1087  4 Ag 3.15-3.33, 7 Ga 3.17-3.41
Ga  0.6040  0.2080  0.4591  1 Ga 2.56, 2 Ag 2.65
Sm  0.3672  0.7344  0.7500  5 Ga 3.10-3.23, 4 Ag 3.31
Ag  0.2031  0.4062  0.0981  4 Ga 2.65-2.96
Sm  0.0953  0.1906  0.8913  4 Ag 3.15-3.33, 7 Ga 3.17-3.41
Ga  0.6536  0.3071  0.7500  2 Ag 2.77, 1 Sm 3.10
Sm  0.9047  0.8094  0.3913  4 Ag 3.15-3.33, 7 Ga 3.17-3.41
Sm  0.6328  0.2656  0.2500  5 Ga 3.10-3.23, 4 Ag 3.31
Ga  0.3960  0.7920  0.5409  1 Ga 2.56, 2 Ag 2.65
Ag  0.7969  0.5938  0.5981  4 Ga 2.65-2.96
Ga  0.3960  0.7920  0.9591  1 Ga 2.56, 2 Ag 2.65
Ag  0.2031  0.4062  0.4019  4 Ga 2.65-2.96
Sm  0.0953  0.1906  0.6087  4 Ag 3.15-3.33, 7 Ga 3.17-3.41
Ga  0.3464  0.6929  0.2500  2 Ag 2.77, 1 Sm 3.10

Calculated values
- space-group type = Cmcm (63)
- uncorrected energy (eV per atom) = -4.12

## Sm4GaAg (PBE)

Data for Sm4GaAg after structural relaxation.

Cell: 5.2386 6.4181 11.4357 Å, 90.00 103.24 90.00°
Last column: nearest neighbours and their distance in Å.
Element x y z (fractional)
Sm  0.5629  0.3578  0.1258  3 Ag 2.96-3.26
Sm  0.7162  0.5515  0.4324  4 Sm 3.12-3.39, 3 Ga 3.23-3.28
Sm  0.6919  0.0726  0.3838  1 Ag 3.07, 5 Sm 3.12-3.41, 2 Ga 3.12
Ga  0.1600  0.3135  0.3199  9 Sm 3.12-3.47
Sm  0.2838  0.0515  0.5676  4 Sm 3.12-3.39, 3 Ga 3.23-3.28
Ga  0.8400  0.8135  0.6801  9 Sm 3.12-3.47
Sm  0.8766  0.2881  0.7532  2 Ag 2.90, 1 Ga 3.15
Ag  0.4299  0.3498  0.8598  5 Sm 2.90-3.16
Sm  0.1234  0.7881  0.2468  2 Ag 2.90, 1 Ga 3.15
Sm  0.3081  0.5726  0.6162  1 Ag 3.07, 5 Sm 3.12-3.41, 2 Ga 3.12
Ag  0.5701  0.8498  0.1402  5 Sm 2.90-3.16
Sm  0.4371  0.8578  0.8742  3 Ag 2.96-3.26

Calculated values
- space-group type = Cmc2_1 (36)
- uncorrected energy (eV per atom) = -4.20